# 1
The following is a PBE calculation of a relaxed Nd2DyCd3AgHg2 crystal, from OQMD.

abc: 4.146 7.934 7.934
angles: 119.84 90.00 90.00
Fractional positions:
1 Hg 0.000 0.336 0.661
2 Hg 0.000 0.661 0.336
3 Cd 0.000 0.251 0.000
4 Cd 0.000 0.000 0.251
5 Cd 0.000 0.750 0.750
6 Dy 0.500 0.404 0.404
7 Nd 0.500 0.000 0.594
8 Nd 0.500 0.594 0.000
9 Ag 0.500 0.005 0.005

Output
space-group type: No. 38
formation energy: -0.399 eV per atom
spin magnetization: 0.0 μB/cell

# 2
The following is a PBE calculation of a relaxed Y4P3W2N3 crystal, from OQMD.

abc: 6.018 6.018 12.528
angles: 103.35 103.35 60.44
Fractional positions:
1 N 0.500 0.000 0.000
2 N 0.663 0.174 0.500
3 N 0.000 0.500 0.500
4 N 0.174 0.663 0.000
5 N 0.826 0.337 0.000
6 N 0.337 0.826 0.500
7 Y 0.707 0.868 0.609
8 Y 0.961 0.797 0.391
9 Y 0.293 0.132 0.391
10 Y 0.868 0.707 0.109
11 Y 0.797 0.961 0.891
12 Y 0.039 0.203 0.609
13 Y 0.132 0.293 0.891
14 Y 0.203 0.039 0.109
15 P 0.580 0.695 0.250
16 P 0.142 0.858 0.750
17 P 0.858 0.142 0.250
18 P 0.695 0.580 0.750
19 P 0.305 0.420 0.250
20 P 0.420 0.305 0.750
21 W 0.624 0.472 0.414
22 W 0.528 0.376 0.086
23 W 0.472 0.624 0.914
24 W 0.376 0.528 0.586

Output
space-group type: No. 15
spin magnetization: 0.0 μB/cell

# 3
The following is a PBE calculation of a relaxed AgSn5Pt3 crystal, from OQMD.

abc: 5.499 5.499 8.074
angles: 90.00 90.00 120.00
Fractional positions:
1 Pt 0.500 0.500 0.500
2 Pt 0.000 0.500 0.500
3 Pt 0.500 0.000 0.500
4 Ag 0.000 0.000 0.000
5 Sn 0.667 0.333 0.807
6 Sn 0.000 0.000 0.500
7 Sn 0.333 0.667 0.807
8 Sn 0.667 0.333 0.193
9 Sn 0.333 0.667 0.193

Output
space-group type: No. 191
spin magnetization: 0.0 μB/cell

# 4
The following is a PBE calculation of a relaxed HoSbPbSe3 crystal, from OQMD.

abc: 7.670 7.670 11.603
angles: 90.00 90.00 149.60
Fractional positions:
1 Se 0.365 0.635 0.493
2 Se 0.994 0.006 0.750
3 Se 0.365 0.635 0.007
4 Se 0.006 0.994 0.250
5 Se 0.635 0.365 0.993
6 Se 0.635 0.365 0.507
7 Sb 0.650 0.350 0.750
8 Sb 0.350 0.650 0.250
9 Ho 0.000 0.000 0.500
10 Ho 0.000 0.000 0.000
11 Pb 0.331 0.669 0.750
12 Pb 0.669 0.331 0.250

Output
space-group type: No. 63
spin magnetization: 0.0 μB/cell

# 5
The following is a PBE calculation of a relaxed DyHPb crystal, from OQMD.

abc: 3.677 3.677 5.163
angles: 90.00 90.00 120.00
Fractional positions:
1 Dy 0.667 0.333 0.834
2 Pb 0.333 0.667 0.334
3 H 0.000 0.000 0.833

Output
space-group type: No. 187
spin magnetization: 0.0 μB/cell

# 6
The following is a PBE calculation of a relaxed PrNdI3N crystal, from OQMD.

abc: 10.494 10.494 12.907
angles: 125.60 125.60 22.77
Fractional positions:
1 I 0.966 0.966 0.756
2 I 0.218 0.218 0.627
3 I 0.331 0.331 0.993
4 I 0.034 0.034 0.244
5 I 0.782 0.782 0.373
6 I 0.669 0.669 0.007
7 N 0.572 0.572 0.649
8 N 0.428 0.428 0.351
9 Pr 0.570 0.570 0.463
10 Pr 0.430 0.430 0.537
11 Nd 0.132 0.132 0.775
12 Nd 0.868 0.868 0.225

Output
space-group type: No. 12
E above lowest polymorph: 11.4 meV per atom
spin magnetization: 0.0 μB/cell

# 7
The following is a PBE calculation of a relaxed Sn3Pd7Au6 crystal, from OQMD.

abc: 4.085 4.085 16.552
angles: 90.00 90.00 90.00
Fractional positions:
1 Pd 0.000 0.000 0.246
2 Pd 0.000 0.000 0.754
3 Pd 0.500 0.000 0.880
4 Pd 0.500 0.000 0.120
5 Pd 0.000 0.500 0.880
6 Pd 0.000 0.500 0.120
7 Pd 0.000 0.000 0.000
8 Au 0.500 0.500 0.500
9 Au 0.000 0.000 0.500
10 Au 0.000 0.500 0.371
11 Au 0.500 0.000 0.371
12 Au 0.500 0.000 0.629
13 Au 0.000 0.500 0.629
14 Sn 0.500 0.500 0.236
15 Sn 0.500 0.500 0.000
16 Sn 0.500 0.500 0.764

Output
space-group type: No. 123

# 8
The following is a PBE calculation of a relaxed MgCuAuSe3 crystal, from OQMD.

abc: 7.135 7.135 9.085
angles: 90.00 90.00 149.29
Fractional positions:
1 Se 0.335 0.665 0.438
2 Se 0.914 0.086 0.750
3 Se 0.665 0.335 0.938
4 Se 0.665 0.335 0.562
5 Se 0.086 0.914 0.250
6 Se 0.335 0.665 0.062
7 Au 0.000 0.000 0.500
8 Au 0.000 0.000 0.000
9 Mg 0.255 0.745 0.750
10 Mg 0.745 0.255 0.250
11 Cu 0.536 0.464 0.750
12 Cu 0.464 0.536 0.250

Output
space-group type: No. 63

# 9
The following is a PBE calculation of a relaxed TcAs2 crystal, from OQMD.

abc: 5.291 5.291 5.291
angles: 60.00 60.00 60.00
Fractional positions:
1 As 0.125 0.625 0.625
2 As 0.625 0.625 0.625
3 As 0.625 0.125 0.625
4 As 0.625 0.625 0.125
5 Tc 0.250 0.250 0.250
6 Tc 0.000 0.000 0.000

Output
space-group type: No. 227
E above lowest polymorph: 1031.6 meV per atom
spin magnetization: 2.8 μB/cell

# 10
The following is a PBE calculation of a relaxed SrLiSmSe3 crystal, from OQMD.

abc: 9.229 9.229 8.713
angles: 103.99 103.99 26.22
Fractional positions:
1 Se 0.666 0.666 0.853
2 Se 0.676 0.676 0.323
3 Se 0.324 0.324 0.677
4 Se 0.000 0.000 0.000
5 Se 0.500 0.500 0.500
6 Se 0.334 0.334 0.147
7 Li 0.494 0.494 0.798
8 Li 0.506 0.506 0.202
9 Sm 0.166 0.166 0.090
10 Sm 0.834 0.834 0.910
11 Sr 0.132 0.132 0.566
12 Sr 0.868 0.868 0.434

Output
space-group type: No. 12
E above lowest polymorph: 0.0 meV per atom
spin magnetization: 0.0 μB/cell

no.,theoretical density (g cm⁻³),energy (eV for the cell shown)
1,9.5,-23.8
2,7.5,-210.0
3,10.1,-42.3
4,7.0,-55.6
5,10.2,-13.3
6,5.1,-62.4
7,13.7,-72.8
8,7.3,-40.8
9,7.9,-33.2
10,5.0,-59.1